Entry P
{"formula": "FeCF3", "functional": "PBE+U", "state": "optimized geometry", "magmom_total_mub_per_cell": 6.67, "dos_at_fermi_per_ev_fu": 9.188, "volume_a3_per_cell": 63, "lattice_angstrom": [[3.9832, 0.0000, 0.0000], [0.0000, 3.9832, 0.0000], [0.0000, 0.0000, 3.9832]], "species": ["Fe", "C", "F", "F", "F"], "frac_coords": [[0.0000, 0.0000, 0.0000], [0.5000, 0.5000, 0.5000], [0.0000, 0.0000, 0.5000], [0.0000, 0.5000, 0.0000], [0.5000, 0.0000, 0.0000]]}

=====

Entry Q
{"formula": "FeCF3", "functional": "PBE+U", "state": "optimized geometry", "magmom_total_mub_per_cell": 3.00, "dos_at_fermi_per_ev_fu": 2.017, "volume_a3_per_cell": 57, "lattice_angstrom": [[3.8466, 0.0000, 0.0000], [0.0000, 3.8466, 0.0000], [0.0000, 0.0000, 3.8466]], "species": ["Fe", "C", "F", "F", "F"], "frac_coords": [[0.0000, 0.0000, 0.0000], [0.5000, 0.5000, 0.5000], [0.0000, 0.5000, 0.5000], [0.5000, 0.0000, 0.5000], [0.5000, 0.5000, 0.0000]]}

=====

Most stable to least stable, the ends of the list are entry P and entry Q.

=====

Entry P
{"formula": "FeC3F", "functional": "PBE+U", "state": "optimized geometry", "magmom_total_mub_per_cell": 0.00, "dos_at_fermi_per_ev_fu": 4.298, "volume_a3_per_cell": 49, "lattice_angstrom": [[3.6492, 0.0000, 0.0000], [0.0000, 3.6492, 0.0000], [0.0000, 0.0000, 3.6492]], "species": ["Fe", "C", "C", "C", "F"], "frac_coords": [[0.0000, 0.0000, 0.0000], [0.0000, 0.0000, 0.5000], [0.0000, 0.5000, 0.0000], [0.5000, 0.0000, 0.0000], [0.5000, 0.5000, 0.5000]]}

=====

Entry Q
{"formula": "FeC3F", "functional": "PBE+U", "state": "optimized geometry", "magmom_total_mub_per_cell": 3.13, "dos_at_fermi_per_ev_fu": 1.346, "volume_a3_per_cell": 51, "lattice_angstrom": [[3.7150, 0.0000, 0.0000], [0.0000, 3.7150, 0.0000], [0.0000, 0.0000, 3.7150]], "species": ["Fe", "C", "C", "C", "F"], "frac_coords": [[0.0000, 0.0000, 0.0000], [0.0000, 0.5000, 0.5000], [0.5000, 0.0000, 0.5000], [0.5000, 0.5000, 0.0000], [0.5000, 0.5000, 0.5000]]}

=====

Most stable to least stable, the ends of the list are entry P and entry Q.

=====

Entry P
{"formula": "FeCN2F", "functional": "PBE+U", "state": "optimized geometry", "magmom_total_mub_per_cell": 3.05, "dos_at_fermi_per_ev_fu": 2.018, "volume_a3_per_cell": 58, "lattice_angstrom": [[3.8832, 0.0000, 0.0000], [0.0000, 3.8832, 0.0000], [0.0000, 0.0000, 3.8261]], "species": ["Fe", "C", "N", "N", "F"], "frac_coords": [[0.0000, 0.0000, 0.0000], [0.5000, 0.5000, 0.5000], [0.0000, 0.5000, 0.0000], [0.5000, 0.0000, 0.0000], [0.0000, 0.0000, 0.5000]]}

=====

Entry Q
{"formula": "FeCN2F", "functional": "PBE+U", "state": "optimized geometry", "magmom_total_mub_per_cell": 3.98, "dos_at_fermi_per_ev_fu": 0.881, "volume_a3_per_cell": 46, "lattice_angstrom": [[3.0968, 0.0000, 0.0000], [0.0000, 3.0968, 0.0000], [0.0000, 0.0000, 4.8012]], "species": ["Fe", "C", "N", "N", "F"], "frac_coords": [[0.0000, 0.0000, 0.0000], [0.5000, 0.5000, 0.5000], [0.0000, 0.5000, 0.5000], [0.5000, 0.0000, 0.5000], [0.5000, 0.5000, 0.0000]]}

=====

Most stable to least stable, the ends of the list are entry Q and entry P.

=====

Entry P
{"formula": "FeCNF2", "functional": "PBE+U", "state": "optimized geometry", "magmom_total_mub_per_cell": 4.32, "dos_at_fermi_per_ev_fu": 1.583, "volume_a3_per_cell": 52, "lattice_angstrom": [[4.5693, 0.0000, 0.0000], [0.0000, 4.5693, 0.0000], [0.0000, 0.0000, 2.4991]], "species": ["Fe", "C", "N", "F", "F"], "frac_coords": [[0.0000, 0.0000, 0.0000], [0.5000, 0.5000, 0.5000], [0.5000, 0.5000, 0.0000], [0.0000, 0.5000, 0.5000], [0.5000, 0.0000, 0.5000]]}

=====

Entry Q
{"formula": "FeCNF2", "functional": "PBE+U", "state": "optimized geometry", "magmom_total_mub_per_cell": 5.00, "dos_at_fermi_per_ev_fu": 2.580, "volume_a3_per_cell": 61, "lattice_angstrom": [[3.8655, 0.0000, 0.0000], [0.0000, 3.8655, 0.0000], [0.0000, 0.0000, 4.0785]], "species": ["Fe", "C", "N", "F", "F"], "frac_coords": [[0.0000, 0.0000, 0.0000], [0.5000, 0.5000, 0.5000], [0.0000, 0.0000, 0.5000], [0.0000, 0.5000, 0.0000], [0.5000, 0.0000, 0.0000]]}

=====

Most stable to least stable, the ends of the list are entry P and entry Q.

=====

Entry P
{"formula": "FeCOF2", "functional": "PBE+U", "state": "optimized geometry", "magmom_total_mub_per_cell": 3.98, "dos_at_fermi_per_ev_fu": 1.359, "volume_a3_per_cell": 52, "lattice_angstrom": [[3.9449, 0.0000, 0.0000], [0.0000, 3.9449, 0.0000], [0.0000, 0.0000, 3.3646]], "species": ["Fe", "C", "O", "F", "F"], "frac_coords": [[0.0000, 0.0000, 0.0000], [0.5000, 0.5000, 0.5000], [0.5000, 0.5000, 0.0000], [0.0000, 0.5000, 0.5000], [0.5000, 0.0000, 0.5000]]}

=====

Entry Q
{"formula": "FeCOF2", "functional": "PBE+U", "state": "optimized geometry", "magmom_total_mub_per_cell": 6.00, "dos_at_fermi_per_ev_fu": 0.556, "volume_a3_per_cell": 60, "lattice_angstrom": [[3.8777, 0.0000, 0.0000], [0.0000, 3.8777, 0.0000], [0.0000, 0.0000, 4.0042]], "species": ["Fe", "C", "O", "F", "F"], "frac_coords": [[0.0000, 0.0000, 0.0000], [0.5000, 0.5000, 0.5000], [0.0000, 0.0000, 0.5000], [0.0000, 0.5000, 0.0000], [0.5000, 0.0000, 0.0000]]}

=====

Most stable to least stable, the ends of the list are entry Q and entry P.